Record 1
AcGaI4: optimized geometry, PBE.

* V: 311 Å³/f.u.
* DOS(E_F): 0.0 states/eV/cell
* energy above the lowest structure with this stoichiometry: 0 meV per atom
* energy relative to the elements, uncorrected: -1128 meV per atom

Geometry as extended XYZ:
```
12
Lattice="-3.628 3.059 -1.103 1.057 -1.682 -8.138 -9.981 -11.437 1.109" Properties=species:S:1:pos:R:3 pbc="T T T"
Ga -6.276 -5.030 -4.066
I -5.777 -7.559 -1.964
I -7.113 -6.977 -6.714
Ac -1.285 0.689 -4.621
I -6.776 -2.501 -6.168
Ac -4.991 -5.718 0.555
I -8.088 -11.171 -4.381
Ga 0.000 0.000 0.000
I -4.464 1.112 -3.751
I -10.481 -8.908 -0.993
I -5.439 -3.083 -1.418
I -2.071 -1.152 -7.139
```

***

Record 2
Mn2Hg2Ir: optimized geometry, PBE.

* V: 101 Å³/f.u.
* DOS(E_F): 3.8 states/eV/cell
* ΔE_f: 820 meV per atom
* energy above the lowest structure with this stoichiometry: 309 meV per atom

Geometry as extended XYZ:
```
5
Lattice="3.763 0.000 0.000 0.000 3.763 0.000 1.882 1.882 7.122" Properties=species:S:1:pos:R:3 pbc="T T T"
Mn 3.763 3.763 5.872
Hg 3.763 1.882 3.561
Ir 0.000 0.000 0.000
Hg 1.882 3.763 3.561
Mn 1.882 1.882 1.250
```

***

Record 3
NiPbBr: optimized geometry, PBE.

* V: 68 Å³/f.u.
* DOS(E_F): 1.6 states/eV/cell
* energy above the lowest structure with this stoichiometry: 190 meV per atom
* energy relative to the elements, uncorrected: 140 meV per atom

Geometry as extended XYZ:
```
3
Lattice="-3.537 -3.355 -3.992 -2.190 -5.907 -0.092 0.863 5.354 3.207" Properties=species:S:1:pos:R:3 pbc="T T T"
Br -5.522 -8.930 -3.938
Ni -1.891 -3.058 -1.348
Pb -4.041 -6.535 -2.882
```

***

Record 4
YCd: optimized geometry, PBE.

* V: 59 Å³/f.u.
* DOS(E_F): 17.0 states/eV/cell
* ΔE_f: -11 meV per atom

Geometry as extended XYZ:
```
16
Lattice="-9.951 6.050 0.235 -5.493 -8.830 -5.248 -0.757 -1.365 3.089" Properties=species:S:1:pos:R:3 pbc="T T T"
Cd -7.043 -7.879 -3.269
Cd -2.008 -1.633 0.725
Cd -8.893 0.244 -2.072
Cd -6.093 -0.439 -1.687
Y -8.481 -5.234 -4.391
Y -5.113 -5.668 -1.819
Cd -6.551 -3.023 -2.941
Y -3.547 -2.479 -1.965
Cd -14.193 -2.512 -2.649
Y -11.088 1.524 -0.105
Cd -9.351 -2.340 -3.326
Y -4.553 0.407 1.003
Y -11.896 -0.300 -3.048
Y -11.648 -4.551 -2.927
Cd -9.158 3.734 1.345
Y -6.963 2.455 -0.622
```

***

Record 5
Na3CuOs: optimized geometry, PBE.

* V: 180 Å³/f.u.
* DOS(E_F): 8.0 states/eV/cell
* ΔE_f: 1511 meV per atom
* energy above the lowest structure with this stoichiometry: 76 meV per atom

Geometry as extended XYZ:
```
5
Lattice="5.648 0.000 0.000 0.000 5.648 0.000 0.000 0.000 5.648" Properties=species:S:1:pos:R:3 pbc="T T T"
Na 2.824 0.000 0.000
Na 0.000 2.824 0.000
Na 0.000 0.000 2.824
Os 0.000 0.000 0.000
Cu 2.824 2.824 2.824
```

***

Record 6
K2AlFe: optimized geometry, PBE.

* V: 128 Å³/f.u.
* DOS(E_F): 4.1 states/eV/cell
* ΔE_f: 408 meV per atom

Geometry as extended XYZ:
```
4
Lattice="3.537 0.000 0.000 0.000 3.525 -0.036 0.000 1.641 10.260" Properties=species:S:1:pos:R:3 pbc="T T T"
K 1.769 1.123 3.335
Fe 1.769 4.508 6.464
K 0.000 4.538 9.431
Al 0.000 2.747 6.330
```

***

Repeat the first record exactly.
AcGaI4: optimized geometry, PBE.

* V: 311 Å³/f.u.
* DOS(E_F): 0.0 states/eV/cell
* energy above the lowest structure with this stoichiometry: 0 meV per atom
* energy relative to the elements, uncorrected: -1128 meV per atom

Geometry as extended XYZ:
```
12
Lattice="-3.628 3.059 -1.103 1.057 -1.682 -8.138 -9.981 -11.437 1.109" Properties=species:S:1:pos:R:3 pbc="T T T"
Ga -6.276 -5.030 -4.066
I -5.777 -7.559 -1.964
I -7.113 -6.977 -6.714
Ac -1.285 0.689 -4.621
I -6.776 -2.501 -6.168
Ac -4.991 -5.718 0.555
I -8.088 -11.171 -4.381
Ga 0.000 0.000 0.000
I -4.464 1.112 -3.751
I -10.481 -8.908 -0.993
I -5.439 -3.083 -1.418
I -2.071 -1.152 -7.139
```